Rb2CuCBr6 (GGA-PBE, optimized geometry); total magnetic moment = 0.0000 μB per atom; DOS at the Fermi energy = 0.46 states/eV per atom; E_form (uncorrected) = -0.31 eV/atom; symmetry = I4/mmm, No. 139; calculated density = 4.514 g cm⁻³
1.0
-3.623 3.623 5.085
3.623 -3.623 5.085
3.623 3.623 -5.085
Rb Cu C Br
2 1 1 6
Cartesian
3.623 0.000 2.543
0.000 3.623 2.543
0.000 0.000 0.000
0.000 0.000 5.085
0.000 0.000 2.597
1.848 1.848 0.000
1.776 -1.776 5.085
-1.776 1.776 5.085
0.000 0.000 7.574
1.776 1.776 5.085